No. 1
Ba6P2AuCl3 GGA-PBE optimized geometry; magnetization = 0.1553 μB per atom; energy = -49.1 eV for the cell shown; volume = 36.579 Å³ per atom; E_form (uncorrected) = -1492.9 meV/atom
1.0
4.0580 -7.0075 0.0000
4.0580 7.0075 0.0000
-2.7266 0.0000 7.7181
Ba P Au Cl
6 2 1 3
Direct
0.0787 0.4239 0.7721
0.2300 0.2300 0.2329
0.4239 0.0787 0.7721
0.5761 0.9213 0.2279
0.7700 0.7700 0.7671
0.9213 0.5761 0.2279
0.1663 0.8337 0.0000
0.8337 0.1663 0.0000
0.5000 0.5000 0.0000
0.0000 0.0000 0.5000
0.3266 0.6734 0.5000
0.6734 0.3266 0.5000

***

No. 2
TiPbS GGA-PBE optimized geometry; magnetization = 0.0000 μB per atom; energy = -34.9 eV for the cell shown; volume = 22.907 Å³ per atom; E_form (uncorrected) = -574.5 meV/atom
1.0
0.0000 3.3723 6.0437
3.3718 0.0000 6.0437
3.3718 3.3723 0.0000
Ti Pb S
2 2 2
Direct
0.2465 0.7535 0.2465
0.7535 0.2465 0.7535
0.0000 0.5000 0.5000
0.5000 0.0000 0.0000
0.2522 0.7478 0.7478
0.7478 0.2522 0.2522

***

No. 3
NaPu3Te4 GGA-PBE optimized geometry; ΔE to the lowest computed polymorph = 0.000 eV per atom; magnetization = 2.1254 μB per atom; energy = -65.4 eV for the cell shown; volume = 31.354 Å³ per atom; E_form (uncorrected) = -1061.1 meV/atom
1.0
6.3066 0.0000 0.0000
0.0000 6.3066 0.0000
0.0000 0.0000 6.3066
Na Pu Te
1 3 4
Direct
0.0000 0.0000 0.0000
0.0000 0.5000 0.5000
0.5000 0.0000 0.5000
0.5000 0.5000 0.0000
0.0000 0.0000 0.5000
0.0000 0.5000 0.0000
0.5000 0.0000 0.0000
0.5000 0.5000 0.5000

***

No. 4
HoNpMn2 GGA-PBE optimized geometry; magnetization = 0.0495 μB per atom; energy = -103.2 eV for the cell shown; volume = 17.757 Å³ per atom; ΔH_f (0 K) = 0.362 eV/atom
1.0
3.2218 0.0000 0.0000
-1.6109 2.7902 0.0000
0.0000 0.0000 23.7042
Ho Np Mn
3 3 6
Direct
0.0000 0.0000 0.0000
0.3333 0.6667 0.6667
0.6667 0.3333 0.3333
0.0000 0.0000 0.5000
0.3333 0.6667 0.1667
0.6667 0.3333 0.8333
0.0000 0.0000 0.2346
0.0000 0.0000 0.7654
0.3333 0.6667 0.4321
0.3333 0.6667 0.9012
0.6667 0.3333 0.0988
0.6667 0.3333 0.5679

***

No. 5
ZnFeH3 GGA-PBE optimized geometry; ΔE to the lowest computed polymorph = 0.000 eV per atom; magnetization = 0.1487 μB per atom; energy = -38.3 eV for the cell shown; volume = 7.138 Å³ per atom
1.0
4.2693 -2.5534 0.0000
4.2693 2.5534 0.0000
-1.3099 0.0000 3.2738
Zn Fe H
2 2 6
Direct
0.2092 0.2092 0.1552
0.7908 0.7908 0.8448
0.2467 0.7533 0.5000
0.7533 0.2467 0.5000
0.1398 0.1398 0.5935
0.2566 0.7434 0.0000
0.4046 0.4046 0.6087
0.5954 0.5954 0.3913
0.7434 0.2566 0.0000
0.8602 0.8602 0.4065

***

No. 6
RbSr4I8 GGA-PBE optimized geometry; ΔE to the lowest computed polymorph = 0.018 eV per atom; magnetization = 0.0000 μB per atom; energy = -40.2 eV for the cell shown; volume = 55.420 Å³ per atom; E_form (uncorrected) = -1545.1 meV/atom
1.0
0.0000 7.1153 7.1153
7.1153 0.0000 7.1153
7.1153 7.1153 0.0000
Rb Sr I
1 4 8
Direct
0.0000 0.0000 0.0000
0.3791 0.3791 0.3791
0.3791 0.3791 0.8627
0.3791 0.8627 0.3791
0.8627 0.3791 0.3791
0.1429 0.1429 0.1429
0.1429 0.1429 0.5714
0.1429 0.5714 0.1429
0.1608 0.6131 0.6131
0.5714 0.1429 0.1429
0.6131 0.1608 0.6131
0.6131 0.6131 0.1608
0.6131 0.6131 0.6131

***

No. 7
Dy8Er2In3 GGA-PBE optimized geometry; magnetization = 0.1682 μB per atom; energy = -52.4 eV for the cell shown; volume = 31.492 Å³ per atom; ΔH_f (0 K) = 0.132 eV/atom
1.0
3.1929 1.8434 11.5923
-3.1929 1.8434 11.5923
0.0000 -3.6869 11.5923
Dy Er In
8 2 3
Direct
0.2194 0.2194 0.7206
0.2194 0.7206 0.2194
0.2250 0.2250 0.2250
0.2794 0.7806 0.7806
0.7206 0.2194 0.2194
0.7750 0.7750 0.7750
0.7806 0.2794 0.7806
0.7806 0.7806 0.2794
0.1357 0.1357 0.1357
0.8643 0.8643 0.8643
0.3112 0.3112 0.3112
0.5000 0.5000 0.5000
0.6888 0.6888 0.6888

***

No. 8
Er3C2 GGA-PBE optimized geometry; ΔE to the lowest computed polymorph = 0.000 eV per atom; magnetization = 0.0001 μB per atom; energy = -33.8 eV for the cell shown; volume = 20.299 Å³ per atom; ΔH_f (0 K) = -0.328 eV/atom
1.0
3.5846 0.0000 0.0000
-1.7923 3.1044 0.0000
0.0000 0.0000 9.1206
Er C
3 2
Direct
0.0000 0.0000 0.0000
0.3333 0.6667 0.2963
0.6667 0.3333 0.7037
0.3333 0.6667 0.8275
0.6667 0.3333 0.1725

***

No. 9
Ac3Sn4Hg4 GGA-PBE optimized geometry; ΔE to the lowest computed polymorph = 0.000 eV per atom; magnetization = 0.0000 μB per atom; energy = -34.2 eV for the cell shown; volume = 30.180 Å³ per atom; ΔH_f (0 K) = -0.423 eV/atom
1.0
-2.3062 2.5012 14.3885
2.3062 -2.5012 14.3885
2.3062 2.5012 -14.3885
Ac Sn Hg
3 4 4
Direct
0.0000 0.0000 0.0000
0.3544 0.8544 0.5000
0.6456 0.1456 0.5000
0.1907 0.6907 0.5000
0.4503 0.4503 0.0000
0.5497 0.5497 0.0000
0.8093 0.3093 0.5000
0.0939 0.5939 0.5000
0.2542 0.2542 0.0000
0.7458 0.7458 0.0000
0.9061 0.4061 0.5000

***

No. 10
ScGaOs2O GGA-PBE optimized geometry; magnetization = 0.5623 μB per atom; energy = -32.7 eV for the cell shown; volume = 17.113 Å³ per atom; E_form (uncorrected) = 817.1 meV/atom
1.0
4.8374 0.0000 0.0000
0.0000 4.8374 0.0000
0.0000 0.0000 3.6566
Sc Ga Os O
1 1 2 1
Direct
0.0000 0.0000 0.0000
0.5000 0.5000 0.5000
0.0000 0.5000 0.5000
0.5000 0.0000 0.5000
0.5000 0.5000 0.0000

***

No. 11
OsAuBr2 GGA-PBE optimized geometry; ΔE to the lowest computed polymorph = 0.000 eV per atom; magnetization = 0.0001 μB per atom; energy = -16.1 eV for the cell shown; volume = 25.182 Å³ per atom; E_form (uncorrected) = 428.6 meV/atom
1.0
4.4372 0.0000 0.0000
0.0000 3.1248 0.0000
-2.2069 0.0000 7.2645
Os Au Br
1 1 2
Direct
0.0000 0.0000 0.0000
0.4673 0.5000 0.9341
0.1323 0.5000 0.2660
0.8323 0.0000 0.6618

***

No. 12
RbTlGeBr4 GGA-PBE optimized geometry; magnetization = 0.0000 μB per atom; energy = -43.0 eV for the cell shown; volume = 37.158 Å³ per atom; E_form (uncorrected) = -982.1 meV/atom
1.0
5.5254 0.0000 0.0000
0.0000 5.5254 0.0000
0.0000 0.0000 17.0397
Rb Tl Ge Br
2 2 2 8
Direct
0.0000 0.0000 0.0000
0.5000 0.5000 0.5000
0.0000 0.0000 0.7175
0.5000 0.5000 0.2175
0.0000 0.0000 0.3570
0.5000 0.5000 0.8570
0.0000 0.0000 0.1994
0.0000 0.0000 0.5322
0.0000 0.5000 0.3590
0.0000 0.5000 0.8590
0.5000 0.0000 0.3590
0.5000 0.0000 0.8590
0.5000 0.5000 0.0322
0.5000 0.5000 0.6994

***

No. 13
Sr3Si2Pd3 GGA-PBE optimized geometry; magnetization = 0.0000 μB per atom; energy = -148.9 eV for the cell shown; volume = 23.637 Å³ per atom; E_form (uncorrected) = -719.1 meV/atom
1.0
8.0417 0.0000 0.0000
0.0000 15.1715 0.0000
0.0000 0.0000 6.1997
Sr Si Pd
12 8 12
Direct
0.0183 0.1072 0.1370
0.0183 0.3928 0.1370
0.1598 0.2500 0.6109
0.3402 0.7500 0.1109
0.4817 0.6072 0.6370
0.4817 0.8928 0.6370
0.5183 0.1072 0.3630
0.5183 0.3928 0.3630
0.6598 0.2500 0.8891
0.8402 0.7500 0.3891
0.9817 0.6072 0.8630
0.9817 0.8928 0.8630
0.1417 0.5939 0.3697
0.1417 0.9061 0.3697
0.3583 0.0939 0.8697
0.3583 0.4061 0.8697
0.6417 0.5939 0.1303
0.6417 0.9061 0.1303
0.8583 0.0939 0.6303
0.8583 0.4061 0.6303
0.1494 0.0384 0.6101
0.1494 0.4616 0.6101
0.1854 0.7500 0.5465
0.3146 0.2500 0.0465
0.3506 0.5384 0.1101
0.3506 0.9616 0.1101
0.6494 0.0384 0.8899
0.6494 0.4616 0.8899
0.6854 0.7500 0.9535
0.8146 0.2500 0.4535
0.8506 0.5384 0.3899
0.8506 0.9616 0.3899

***

No. 14
Mg3IrOs GGA-PBE optimized geometry; ΔE to the lowest computed polymorph = 0.000 eV per atom; magnetization = 0.4389 μB per atom; energy = -19.7 eV for the cell shown; volume = 22.217 Å³ per atom; ΔH_f (0 K) = 1.026 eV/atom
1.0
4.8071 0.0000 0.0000
0.0000 4.8071 0.0000
0.0000 0.0000 4.8071
Mg Ir Os
3 1 1
Direct
0.0000 0.0000 0.5000
0.0000 0.5000 0.0000
0.5000 0.0000 0.0000
0.0000 0.0000 0.0000
0.5000 0.5000 0.5000

***

No. 15
NpInGaI6 GGA-PBE optimized geometry; magnetization = 0.3316 μB per atom; energy = -67.0 eV for the cell shown; volume = 46.890 Å³ per atom; E_form (uncorrected) = -609.7 meV/atom
1.0
7.7142 0.0000 0.0000
0.0000 7.7142 0.0000
0.0000 0.0000 14.1831
Np In Ga I
2 2 2 12
Direct
0.0000 0.0000 0.0000
0.5000 0.5000 0.5000
0.0000 0.0000 0.6654
0.5000 0.5000 0.1654
0.0000 0.0000 0.3287
0.5000 0.5000 0.8287
0.1855 0.1855 0.1596
0.1938 0.1938 0.8470
0.2244 0.2244 0.4950
0.2756 0.7244 0.9950
0.3062 0.6938 0.3470
0.3145 0.6855 0.6596
0.6855 0.3145 0.6596
0.6938 0.3062 0.3470
0.7244 0.2756 0.9950
0.7756 0.7756 0.4950
0.8062 0.8062 0.8470
0.8145 0.8145 0.1596

***

No. 16
Mn4Hg GGA-PBE optimized geometry; ΔE to the lowest computed polymorph = 1.056 eV per atom; magnetization = 3.4179 μB per atom; energy = -29.6 eV for the cell shown; volume = 24.944 Å³ per atom; ΔH_f (0 K) = 1.469 eV/atom
1.0
4.9963 0.0000 0.0000
0.0000 4.9963 0.0000
0.0000 0.0000 4.9963
Mn Hg
4 1
Direct
0.0000 0.0000 0.0000
0.0000 0.5000 0.5000
0.5000 0.0000 0.5000
0.5000 0.5000 0.0000
0.5000 0.5000 0.5000

***

No. 17
Sr2GaAs GGA-PBE optimized geometry; ΔE to the lowest computed polymorph = 0.000 eV per atom; magnetization = 0.0000 μB per atom; energy = -53.3 eV for the cell shown; volume = 28.953 Å³ per atom; ΔH_f (0 K) = -0.572 eV/atom
1.0
7.7376 0.0000 0.0000
0.0000 7.7376 0.0000
0.0000 0.0000 7.7376
Sr Ga As
8 4 4
Direct
0.2500 0.2500 0.2500
0.2500 0.2500 0.7500
0.2500 0.7500 0.2500
0.2500 0.7500 0.7500
0.7500 0.2500 0.2500
0.7500 0.2500 0.7500
0.7500 0.7500 0.2500
0.7500 0.7500 0.7500
0.0000 0.0000 0.0000
0.0000 0.5000 0.5000
0.5000 0.0000 0.5000
0.5000 0.5000 0.0000
0.0000 0.0000 0.5000
0.0000 0.5000 0.0000
0.5000 0.0000 0.0000
0.5000 0.5000 0.5000

***

No. 18
LiCa2Tl GGA-PBE optimized geometry; ΔE to the lowest computed polymorph = 0.198 eV per atom; magnetization = 0.0000 μB per atom; energy = -26.0 eV for the cell shown; volume = 32.654 Å³ per atom; ΔH_f (0 K) = -0.094 eV/atom
1.0
3.8257 0.0000 0.0000
-1.9128 3.3131 0.0000
0.0000 0.0000 30.9150
Li Ca Tl
3 6 3
Direct
0.0000 0.0000 0.0000
0.3333 0.6667 0.6667
0.6667 0.3333 0.3333
0.0000 0.0000 0.5797
0.0000 0.0000 0.7524
0.3333 0.6667 0.2464
0.3333 0.6667 0.4191
0.6667 0.3333 0.0858
0.6667 0.3333 0.9130
0.0000 0.0000 0.1660
0.3333 0.6667 0.8327
0.6667 0.3333 0.4994

***

No. 19
YTc2Pd GGA-PBE optimized geometry; ΔE to the lowest computed polymorph = 0.066 eV per atom; magnetization = 0.2716 μB per atom; energy = -121.3 eV for the cell shown; volume = 19.334 Å³ per atom; ΔH_f (0 K) = 0.514 eV/atom
1.0
7.7805 0.0000 0.0000
0.0000 7.7805 0.0000
0.0000 0.0000 5.1099
Y Tc Pd
4 8 4
Direct
0.0000 0.0000 0.0000
0.0000 0.5000 0.2500
0.5000 0.0000 0.7500
0.5000 0.5000 0.5000
0.2172 0.2500 0.6250
0.2500 0.7172 0.8750
0.2500 0.7828 0.3750
0.2828 0.2500 0.1250
0.7172 0.7500 0.1250
0.7500 0.2172 0.3750
0.7500 0.2828 0.8750
0.7828 0.7500 0.6250
0.0000 0.0000 0.5000
0.0000 0.5000 0.7500
0.5000 0.0000 0.2500
0.5000 0.5000 0.0000

***

No. 20
Hf2ZnCo GGA-PBE optimized geometry; ΔE to the lowest computed polymorph = 0.000 eV per atom; magnetization = 0.0004 μB per atom; energy = -29.4 eV for the cell shown; volume = 16.816 Å³ per atom; ΔH_f (0 K) = -0.281 eV/atom
1.0
3.2186 0.0000 0.0000
0.0000 3.2186 0.0000
0.0000 0.0000 6.4932
Hf Zn Co
2 1 1
Direct
0.0000 0.0000 0.2344
0.0000 0.0000 0.7656
0.5000 0.5000 0.5000
0.5000 0.5000 0.0000

***

No. 21
ErSc2Cd2 GGA-PBE optimized geometry; ΔE to the lowest computed polymorph = 0.000 eV per atom; magnetization = 0.0000 μB per atom; energy = -40.4 eV for the cell shown; volume = 24.034 Å³ per atom; ΔH_f (0 K) = -0.232 eV/atom
1.0
3.5555 0.0000 0.0000
0.0000 5.1291 0.0000
-1.7808 0.0000 13.1792
Er Sc Cd
2 4 4
Direct
0.1509 0.2500 0.3011
0.8491 0.7500 0.6989
0.0468 0.7500 0.0931
0.2373 0.7500 0.4748
0.7627 0.2500 0.5252
0.9532 0.2500 0.9069
0.3581 0.2500 0.7167
0.4524 0.7500 0.9044
0.5476 0.2500 0.0956
0.6419 0.7500 0.2833

***

No. 22
Sm2Ho3Ag2 GGA-PBE optimized geometry; magnetization = 0.0000 μB per atom; energy = -59.2 eV for the cell shown; volume = 27.772 Å³ per atom; ΔH_f (0 K) = -0.104 eV/atom
1.0
9.3198 0.0000 0.0000
0.0000 5.3828 0.0000
-3.1149 0.0000 7.7504
Sm Ho Ag
4 6 4
Direct
0.0759 0.0000 0.2267
0.4241 0.5000 0.7733
0.5759 0.5000 0.2267
0.9241 0.0000 0.7733
0.0000 0.5000 0.5000
0.1612 0.5000 0.9836
0.3388 0.0000 0.0164
0.5000 0.0000 0.5000
0.6612 0.0000 0.9836
0.8388 0.5000 0.0164
0.2116 0.0000 0.6379
0.2884 0.5000 0.3621
0.7116 0.5000 0.6379
0.7884 0.0000 0.3621

***

No. 23
Pa3Ni2Ge2 GGA-PBE optimized geometry; magnetization = 0.0000 μB per atom; energy = -105.1 eV for the cell shown; volume = 19.944 Å³ per atom; ΔH_f (0 K) = -0.466 eV/atom
1.0
3.7792 0.0000 0.0000
0.0000 4.1431 0.0000
0.0000 0.0000 17.8326
Pa Ni Ge
6 4 4
Direct
0.0000 0.0000 0.0000
0.0000 0.5000 0.1873
0.0000 0.5000 0.8127
0.5000 0.0000 0.3127
0.5000 0.0000 0.6873
0.5000 0.5000 0.5000
0.0000 0.0000 0.4333
0.0000 0.0000 0.5667
0.5000 0.5000 0.0667
0.5000 0.5000 0.9333
0.0000 0.5000 0.3616
0.0000 0.5000 0.6384
0.5000 0.0000 0.1384
0.5000 0.0000 0.8616

***

No. 24
ZnAgP2 GGA-PBE optimized geometry; magnetization = 0.0000 μB per atom; energy = -39.6 eV for the cell shown; volume = 16.738 Å³ per atom; ΔH_f (0 K) = 0.436 eV/atom
1.0
2.7264 0.0000 0.0000
-1.3632 2.3611 0.0000
0.0000 0.0000 31.2013
Zn Ag P
3 3 6
Direct
0.0000 0.0000 0.0000
0.3333 0.6667 0.6667
0.6667 0.3333 0.3333
0.0000 0.0000 0.7468
0.3333 0.6667 0.4135
0.6667 0.3333 0.0802
0.0000 0.0000 0.2351
0.0000 0.0000 0.5030
0.3333 0.6667 0.1697
0.3333 0.6667 0.9018
0.6667 0.3333 0.5684
0.6667 0.3333 0.8363